# 1
# PmNb2C, relaxed, DFT PBE-GGA
# Density of states at the Fermi level = 3.1 states/eV/f.u.
# Energy of formation = 24 meV/atom
data_PmNb2C
_cell_length_a 3.1941
_cell_length_b 3.1941
_cell_length_c 25.9236
_cell_angle_alpha 90.00
_cell_angle_beta 90.00
_cell_angle_gamma 120.00
_symmetry_space_group_name_H-M 'R -3 m'
_symmetry_Int_Tables_number 166
_symmetry_space_group_name_Hall '-R 3 2"'
loop_
_atom_site_label
_atom_site_type_symbol
_atom_site_fract_x
_atom_site_fract_y
_atom_site_fract_z
_atom_site_occupancy
Pm1 Pm 0.0000 0.0000 0.0000 1
Nb1 Nb 0.0000 0.0000 0.1210 1
C1 C 0.0000 0.0000 0.5000 1

***

# 2
# ThNp2MnC4, relaxed, DFT PBE-GGA
# Density of states at the Fermi level = 11.2 states/eV/f.u.
# Energy of formation = 7 meV/atom
data_ThNp2MnC4
_cell_length_a 3.5557
_cell_length_b 11.2547
_cell_length_c 11.5870
_cell_angle_alpha 90.00
_cell_angle_beta 90.00
_cell_angle_gamma 90.00
_symmetry_space_group_name_H-M 'C m c m'
_symmetry_Int_Tables_number 63
_symmetry_space_group_name_Hall '-C 2c 2'
loop_
_atom_site_label
_atom_site_type_symbol
_atom_site_fract_x
_atom_site_fract_y
_atom_site_fract_z
_atom_site_occupancy
Th1 Th 0.0000 0.1046 0.2500 1
Np1 Np 0.0000 0.3702 0.0469 1
Mn1 Mn 0.0000 0.1565 0.7500 1
C1 C 0.0000 0.0000 0.0000 1
C2 C 0.0000 0.2588 0.6243 1
C3 C 0.0000 0.4250 0.2500 1